[1]
First-principles (PBE) data for a geometry-optimized Sc2TlRh structure, as listed in Alexandria.

Cell lengths 9.3973, 9.3973, 9.3973 Å; angles 20.23, 20.23, 20.23 degrees
With the nearest neighbours (Å) after each atom.
Sites, in units of the cell vectors:
Sc 0.0000 0.0000 0.0000  3 Rh 2.64
Sc 0.2357 0.2357 0.2357  3 Tl 3.14, 9 Sc 3.30
Tl 0.4785 0.4785 0.4785  3 Rh 2.89, 3 Sc 3.14
Rh 0.7331 0.7331 0.7331  3 Sc 2.64, 3 Tl 2.89

Output
- electronic total energy (eV/cell) = -22.950
- mass density (Mg/m³) = 7.60
- V (A^3/atom) = 21.7

[2]
First-principles (PBE) data for a geometry-optimized ScTl2Rh structure, as listed in Alexandria.

Cell lengths 3.2999, 4.7657, 5.4950 Å; angles 90.00, 98.34, 90.00 degrees
With the nearest neighbours (Å) after each atom.
Sites, in units of the cell vectors:
Sc 0.0000 0.0000 0.0000  2 Rh 2.99, 4 Tl 3.05, 2 Sc 3.30
Tl 0.3175 0.5000 0.7378  2 Rh 2.82, 3 Tl 2.96-3.10, 2 Sc 3.05
Tl 0.6825 0.5000 0.2622  2 Rh 2.82, 3 Tl 2.96-3.10, 2 Sc 3.05
Rh 0.5000 0.0000 0.5000  4 Tl 2.82, 2 Sc 2.99

Output
- electronic total energy (eV/cell) = -18.710
- mass density (Mg/m³) = 10.81
- V (A^3/atom) = 21.4

[3]
First-principles (PBE) data for a geometry-optimized ScTl3Rh structure, as listed in Alexandria.

Cell lengths 5.4622, 5.4622, 5.4622 Å; angles 90.00, 90.00, 90.00 degrees
With the nearest neighbours (Å) after each atom.
Sites, in units of the cell vectors:
Sc 0.0000 0.0000 0.0000  6 Tl 2.73
Tl 0.0000 0.0000 0.5000  2 Sc 2.73
Tl 0.0000 0.5000 0.0000  2 Sc 2.73
Tl 0.5000 0.0000 0.0000  2 Sc 2.73
Rh 0.5000 0.5000 0.5000  12 Tl 3.86

Output
- electronic total energy (eV/cell) = -15.522
- mass density (Mg/m³) = 7.75
- V (A^3/atom) = 32.6

[4]
First-principles (PBE) data for a geometry-optimized Sc5Tl4Rh structure, as listed in Alexandria.

Cell lengths 3.3299, 3.3299, 19.8602 Å; angles 90.00, 90.00, 90.00 degrees
With the nearest neighbours (Å) after each atom.
Sites, in units of the cell vectors:
Sc 0.0000 0.0000 0.0000  8 Tl 3.14, 4 Sc 3.33
Sc 0.0000 0.0000 0.2102  8 Tl 3.13-3.15, 4 Sc 3.33
Sc 0.0000 0.0000 0.4215  4 Rh 2.82, 1 Sc 3.12
Sc 0.0000 0.0000 0.5785  4 Rh 2.82, 1 Sc 3.12
Sc 0.0000 0.0000 0.7898  8 Tl 3.13-3.15, 4 Sc 3.33
Tl 0.5000 0.5000 0.1049  8 Sc 3.14-3.15, 4 Tl 3.33
Tl 0.5000 0.5000 0.3138  8 Sc 3.13-3.18, 4 Tl 3.33
Tl 0.5000 0.5000 0.6862  8 Sc 3.13-3.18, 4 Tl 3.33
Tl 0.5000 0.5000 0.8951  8 Sc 3.14-3.15, 4 Tl 3.33
Rh 0.5000 0.5000 0.5000  8 Sc 2.82

Output
- electronic total energy (eV/cell) = -52.603
- mass density (Mg/m³) = 8.64
- V (A^3/atom) = 22.0

[5]
First-principles (PBE) data for a geometry-optimized Sc3Tl2Rh structure, as listed in Alexandria.

Cell lengths 7.7118, 7.7118, 7.0899 Å; angles 90.00, 90.00, 142.93 degrees
With the nearest neighbours (Å) after each atom.
Sites, in units of the cell vectors:
Sc 0.0000 0.0000 0.2342  6 Tl 2.96-3.09, 2 Rh 2.97
Sc 0.0000 0.0000 0.7658  6 Tl 2.96-3.09, 2 Rh 2.97
Sc 0.3241 0.6759 0.2219  3 Rh 2.77-2.91, 2 Tl 3.02-3.06
Sc 0.3241 0.6759 0.7781  3 Rh 2.77-2.91, 2 Tl 3.02-3.06
Sc 0.6759 0.3241 0.2219  3 Rh 2.77-2.91, 2 Tl 3.02-3.06
Sc 0.6759 0.3241 0.7781  3 Rh 2.77-2.91, 2 Tl 3.02-3.06
Tl 0.1642 0.8358 0.5000  8 Sc 3.05-3.15
Tl 0.5000 0.5000 0.0000  8 Sc 2.96-3.02
Tl 0.5000 0.5000 0.5000  8 Sc 3.09-3.24, 4 Tl 3.43
Tl 0.8358 0.1642 0.5000  8 Sc 3.05-3.15
Rh 0.1683 0.8317 0.0000  8 Sc 2.77-2.97
Rh 0.8317 0.1683 0.0000  8 Sc 2.77-2.97

Output
- electronic total energy (eV/cell) = -67.851
- mass density (Mg/m³) = 8.45
- V (A^3/atom) = 21.2

[6]
First-principles (PBE) data for a geometry-optimized Sc2TlRh structure, as listed in Alexandria.

Cell lengths 4.7680, 4.7680, 3.5034 Å; angles 90.00, 90.00, 90.13 degrees
With the nearest neighbours (Å) after each atom.
Sites, in units of the cell vectors:
Sc 0.0000 0.5000 0.0000  4 Tl 2.96, 4 Rh 2.96
Sc 0.5000 0.0000 0.0000  4 Tl 2.96, 4 Rh 2.96
Tl 0.0000 0.0000 0.5000  8 Sc 2.96
Rh 0.5000 0.5000 0.5000  8 Sc 2.96

Output
- electronic total energy (eV/cell) = -24.453
- mass density (Mg/m³) = 8.28
- V (A^3/atom) = 19.9

[7]
First-principles (PBE) data for a geometry-optimized Sc2TlRh structure, as listed in Alexandria.

Cell lengths 8.5571, 8.5571, 8.5571 Å; angles 23.76, 23.76, 23.76 degrees
With the nearest neighbours (Å) after each atom.
Sites, in units of the cell vectors:
Sc 0.0000 0.0000 0.0000  3 Rh 2.63
Sc 0.2006 0.2006 0.2006  3 Rh 2.61
Tl 0.4331 0.4331 0.4331  6 Sc 3.21-3.23, 6 Tl 3.52
Rh 0.5998 0.5998 0.5998  6 Sc 2.61-2.63

Output
- electronic total energy (eV/cell) = -24.147
- mass density (Mg/m³) = 7.38
- V (A^3/atom) = 22.3

[8]
First-principles (PBE) data for a geometry-optimized Sc3TlRh structure, as listed in Alexandria.

Cell lengths 5.0101, 5.0101, 5.0101 Å; angles 90.00, 90.00, 90.00 degrees
With the nearest neighbours (Å) after each atom.
Sites, in units of the cell vectors:
Sc 0.0000 0.0000 0.5000  2 Rh 2.51
Sc 0.0000 0.5000 0.0000  2 Rh 2.51
Sc 0.5000 0.0000 0.0000  2 Rh 2.51
Tl 0.5000 0.5000 0.5000  12 Sc 3.54
Rh 0.0000 0.0000 0.0000  6 Sc 2.51

Output
- electronic total energy (eV/cell) = -30.068
- mass density (Mg/m³) = 5.84
- V (A^3/atom) = 25.2

[9]
First-principles (PBE) data for a geometry-optimized ScTl2Rh structure, as listed in Alexandria.

Cell lengths 3.6648, 3.5880, 7.3286 Å; angles 90.00, 104.27, 90.00 degrees
With the nearest neighbours (Å) after each atom.
Sites, in units of the cell vectors:
Sc 0.0000 0.0000 0.0000  4 Rh 2.66-2.67
Tl 0.3532 0.5000 0.7032  1 Rh 2.84
Tl 0.7143 0.0000 0.4168  2 Rh 2.86
Rh 0.5499 0.5000 0.1029  4 Sc 2.66-2.67, 3 Tl 2.84-2.86

Output
- electronic total energy (eV/cell) = -19.475
- mass density (Mg/m³) = 9.90
- V (A^3/atom) = 23.3

[10]
First-principles (PBE) data for a geometry-optimized ScTl2Rh structure, as listed in Alexandria.

Cell lengths 5.5218, 5.5218, 5.5218 Å; angles 140.75, 126.09, 68.69 degrees
With the nearest neighbours (Å) after each atom.
Sites, in units of the cell vectors:
Sc 0.0000 0.0000 0.0000  8 Tl 3.06-3.29, 4 Rh 3.12
Tl 0.2665 0.7665 0.5000  2 Rh 2.82, 2 Sc 3.06, 4 Tl 3.13
Tl 0.7335 0.2335 0.5000  2 Rh 2.82, 2 Sc 3.06, 4 Tl 3.13
Rh 0.5000 0.5000 0.0000  4 Tl 2.82, 4 Sc 3.12

Output
- electronic total energy (eV/cell) = -18.936
- mass density (Mg/m³) = 10.92
- V (A^3/atom) = 21.2

[11]
First-principles (PBE) data for a geometry-optimized ScTl2Rh structure, as listed in Alexandria.

Cell lengths 6.3430, 6.3430, 6.3430 Å; angles 101.92, 101.92, 125.95 degrees
With the nearest neighbours (Å) after each atom.
Sites, in units of the cell vectors:
Sc 0.0000 0.0000 0.0000  2 Rh 2.88, 4 Tl 3.11
Sc 0.7500 0.2500 0.5000  2 Rh 2.88, 4 Tl 3.11
Tl 0.1602 0.6250 0.0352  2 Rh 2.73, 2 Tl 2.94
Tl 0.3750 0.4102 0.5352  2 Rh 2.73, 2 Tl 2.94
Tl 0.5898 0.1250 0.9648  2 Rh 2.73, 2 Tl 2.94
Tl 0.8750 0.8398 0.4648  2 Rh 2.73, 2 Tl 2.94
Rh 0.2500 0.7500 0.5000  4 Tl 2.73, 2 Sc 2.88
Rh 0.5000 0.5000 0.0000  4 Tl 2.73, 2 Sc 2.88

Output
- electronic total energy (eV/cell) = -36.516
- mass density (Mg/m³) = 10.04
- V (A^3/atom) = 23.0

[12]
First-principles (PBE) data for a geometry-optimized Sc2TlRh structure, as listed in Alexandria.

Cell lengths 7.3067, 7.3067, 7.3067 Å; angles 154.30, 145.02, 43.91 degrees
With the nearest neighbours (Å) after each atom.
Sites, in units of the cell vectors:
Sc 0.1798 0.1798 0.0000  1 Rh 2.44
Sc 0.8202 0.8202 0.0000  1 Rh 2.44
Tl 0.5000 0.5000 0.0000  4 Rh 2.73
Rh 0.0000 0.0000 0.0000  2 Sc 2.44

Output
- electronic total energy (eV/cell) = -22.321
- mass density (Mg/m³) = 6.82
- V (A^3/atom) = 24.2

[13]
First-principles (PBE) data for a geometry-optimized Sc12Tl3Rh structure, as listed in Alexandria.

Cell lengths 4.5393, 4.5393, 17.4203 Å; angles 90.00, 90.00, 90.00 degrees
With the nearest neighbours (Å) after each atom.
Sites, in units of the cell vectors:
Sc 0.0000 0.0000 0.0000  8 Sc 2.94, 4 Rh 3.21
Sc 0.0000 0.0000 0.2393  4 Tl 3.21, 8 Sc 3.21-3.23
Sc 0.0000 0.0000 0.5000  8 Sc 3.21, 4 Tl 3.21
Sc 0.0000 0.0000 0.7607  4 Tl 3.21, 8 Sc 3.21-3.23
Sc 0.0000 0.5000 0.1070  2 Rh 2.94, 8 Sc 2.94-3.23, 2 Tl 3.26
Sc 0.0000 0.5000 0.3699  4 Tl 3.18-3.21, 8 Sc 3.21
Sc 0.0000 0.5000 0.6301  4 Tl 3.18-3.21, 8 Sc 3.21
Sc 0.0000 0.5000 0.8930  2 Rh 2.94, 8 Sc 2.94-3.23, 2 Tl 3.26
Sc 0.5000 0.0000 0.1070  2 Rh 2.94, 8 Sc 2.94-3.23, 2 Tl 3.26
Sc 0.5000 0.0000 0.3699  4 Tl 3.18-3.21, 8 Sc 3.21
Sc 0.5000 0.0000 0.6301  4 Tl 3.18-3.21, 8 Sc 3.21
Sc 0.5000 0.0000 0.8930  2 Rh 2.94, 8 Sc 2.94-3.23, 2 Tl 3.26
Tl 0.5000 0.5000 0.2417  12 Sc 3.18-3.26
Tl 0.5000 0.5000 0.5000  12 Sc 3.21
Tl 0.5000 0.5000 0.7583  12 Sc 3.18-3.26
Rh 0.5000 0.5000 0.0000  12 Sc 2.94-3.21

Output
- electronic total energy (eV/cell) = -94.290
- mass density (Mg/m³) = 5.81
- V (A^3/atom) = 22.4